! Ho5Tl6Hg, optimized geometry, DFT PBE; values from VASP
! * density: 11.5 g/cm³
! * energy relative to the elements: -3.4 eV per formula unit
! * E: -3.40 eV per atom
&SYSTEM
  ibrav = 0, nat = 12, ntyp = 3
/
ATOMIC_SPECIES
Tl 204.38 Tl.upf
Ho 164.93 Ho.upf
Hg 200.59 Hg.upf
CELL_PARAMETERS angstrom
4.689 0.000 -1.312
-3.408 7.752 -3.170
0.008 -0.244 9.039
ATOMIC_POSITIONS crystal
Tl 0.258 0.085 0.430
Tl 0.742 0.570 0.915
Tl 0.770 0.269 0.269
Tl 0.230 0.731 0.731
Tl 0.258 0.430 0.085
Tl 0.742 0.915 0.570
Ho 0.500 0.138 0.862
Ho 0.000 0.323 0.677
Ho 0.500 0.500 0.500
Ho 0.000 0.677 0.323
Ho 0.500 0.862 0.138
Hg 0.000 0.000 0.000

---

! Ho4Tl3Hg2, optimized geometry, DFT PBE; values from VASP
! * density: 11.5 g/cm³
! * energy relative to the elements: -2.8 eV per formula unit
! * E: -3.20 eV per atom
&SYSTEM
  ibrav = 0, nat = 9, ntyp = 3
/
ATOMIC_SPECIES
Ho 164.93 Ho.upf
Tl 204.38 Tl.upf
Hg 200.59 Hg.upf
CELL_PARAMETERS angstrom
-4.909 0.724 1.342
-2.806 -3.951 1.711
3.012 2.134 9.867
ATOMIC_POSITIONS crystal
Ho 0.667 0.667 0.887
Ho 0.000 0.000 0.328
Ho 0.000 0.000 0.672
Ho 0.333 0.333 0.113
Tl 0.333 0.333 0.441
Tl 0.000 0.000 0.000
Tl 0.667 0.667 0.559
Hg 0.333 0.333 0.800
Hg 0.667 0.667 0.200